Record 1
Compound: As2PbCl
Source: Alexandria
Functional: GGA-PBEsol
Structure: relaxed

a = 6.622 Å, b = 6.622 Å, c = 6.622 Å
α = 145.46°, β = 145.46°, γ = 49.65°
Fractional positions:
As 0.250 0.750 0.500
As 0.750 0.250 0.500
Pb 0.000 0.000 0.000
Cl 0.500 0.500 0.000

Summary:
**VASP energy**: -4.090 eV/atom
**Fermi-level density of states**: 0.4259 states/eV/atom

Record 2
Compound: KBF4
Source: Alexandria
Functional: GGA-PBEsol
Structure: relaxed

a = 8.604 Å, b = 5.412 Å, c = 6.977 Å
α = 90.00°, β = 90.00°, γ = 90.00°
Fractional positions:
K 0.184 0.250 0.158
K 0.316 0.750 0.658
K 0.684 0.250 0.342
K 0.816 0.750 0.842
B 0.063 0.250 0.689
B 0.437 0.750 0.189
B 0.563 0.250 0.811
B 0.937 0.750 0.311
F 0.078 0.037 0.806
F 0.078 0.463 0.806
F 0.085 0.750 0.398
F 0.181 0.250 0.550
F 0.319 0.750 0.050
F 0.415 0.250 0.898
F 0.422 0.537 0.306
F 0.422 0.963 0.306
F 0.578 0.037 0.694
F 0.578 0.463 0.694
F 0.585 0.750 0.102
F 0.681 0.250 0.950
F 0.819 0.750 0.450
F 0.915 0.250 0.602
F 0.922 0.537 0.194
F 0.922 0.963 0.194

Summary:
**VASP energy**: -5.690 eV/atom
**Fermi-level density of states**: 0.0000 states/eV/atom

Record 3
Compound: Fe6NiPt
Source: Alexandria
Functional: GGA-PBEsol
Structure: relaxed

a = 6.335 Å, b = 6.335 Å, c = 10.913 Å
α = 90.00°, β = 90.00°, γ = 120.74°
Fractional positions:
Fe 0.000 0.000 0.000
Fe 0.000 0.000 0.500
Fe 0.131 0.387 0.120
Fe 0.131 0.387 0.880
Fe 0.138 0.383 0.369
Fe 0.138 0.383 0.631
Fe 0.249 0.751 0.245
Fe 0.249 0.751 0.755
Fe 0.383 0.138 0.369
Fe 0.383 0.138 0.631
Fe 0.387 0.131 0.120
Fe 0.387 0.131 0.880
Fe 0.500 0.500 0.000
Fe 0.500 0.500 0.500
Fe 0.613 0.869 0.120
Fe 0.613 0.869 0.880
Fe 0.617 0.862 0.369
Fe 0.617 0.862 0.631
Fe 0.751 0.249 0.245
Fe 0.751 0.249 0.755
Fe 0.862 0.617 0.369
Fe 0.862 0.617 0.631
Fe 0.869 0.613 0.120
Fe 0.869 0.613 0.880
Ni 0.245 0.755 0.000
Ni 0.500 0.500 0.244
Ni 0.500 0.500 0.756
Ni 0.755 0.245 0.000
Pt 0.000 0.000 0.244
Pt 0.000 0.000 0.756
Pt 0.245 0.755 0.500
Pt 0.755 0.245 0.500

Summary:
**VASP energy**: -8.327 eV/atom
**Fermi-level density of states**: 0.9381 states/eV/atom

Record 4
Compound: Si2P
Source: Alexandria
Functional: GGA-PBEsol
Structure: relaxed

a = 5.019 Å, b = 5.019 Å, c = 5.019 Å
α = 144.63°, β = 144.63°, γ = 50.89°
Fractional positions:
Si 0.154 0.154 0.000
Si 0.846 0.846 0.000
P 0.500 0.500 0.000

Summary:
**Energy above the most stable polymorph in this dataset**: 215 meV/atom
**Fermi-level density of states**: 0.3402 states/eV/atom

Record 5
Compound: Sm3CuSiSe7
Source: Alexandria
Functional: GGA-PBEsol
Structure: relaxed

a = 10.362 Å, b = 10.362 Å, c = 5.936 Å
α = 90.00°, β = 90.00°, γ = 120.00°
Fractional positions:
Sm 0.129 0.773 0.000
Sm 0.227 0.356 0.000
Sm 0.356 0.129 0.500
Sm 0.644 0.871 0.000
Sm 0.773 0.644 0.500
Sm 0.871 0.227 0.500
Cu 0.000 0.000 0.026
Cu 0.000 0.000 0.526
Si 0.333 0.667 0.413
Si 0.667 0.333 0.913
Se 0.094 0.835 0.515
Se 0.101 0.520 0.261
Se 0.165 0.259 0.515
Se 0.259 0.094 0.015
Se 0.333 0.667 0.793
Se 0.419 0.899 0.261
Se 0.480 0.581 0.261
Se 0.520 0.419 0.761
Se 0.581 0.101 0.761
Se 0.667 0.333 0.293
Se 0.741 0.906 0.515
Se 0.835 0.741 0.015
Se 0.899 0.480 0.761
Se 0.906 0.165 0.015

Summary:
**VASP energy**: -5.727 eV/atom

Record 6
Compound: Ta2SnBi
Source: Alexandria
Functional: GGA-PBEsol
Structure: relaxed

a = 4.837 Å, b = 4.837 Å, c = 4.837 Å
α = 60.00°, β = 60.00°, γ = 60.00°
Fractional positions:
Ta 0.250 0.250 0.250
Ta 0.750 0.750 0.750
Sn 0.000 0.000 0.000
Bi 0.500 0.500 0.500

Summary:
**VASP energy**: -7.999 eV/atom
**Fermi-level density of states**: 0.7494 states/eV/atom

Number 1: calculated volume 92.9 Å³ per cell, spin magnetization 0.0 μB per formula unit. Number 2: calculated volume 324.9 Å³ per cell, spin magnetization 0.0 μB per formula unit. Number 3: calculated volume 376.4 Å³ per cell, spin magnetization 16.9 μB per formula unit. Number 4: calculated volume 42.1 Å³ per cell, spin magnetization 0.0 μB per formula unit. Number 5: calculated volume 552.0 Å³ per cell, spin magnetization 0.0 μB per formula unit. Number 6: calculated volume 80.0 Å³ per cell, spin magnetization 0.0 μB per formula unit.